No. 1
VASP calculation (GGA-PBE) on an optimized crystal structure of POsRuN.

The space group is Amm2 (No. 38) and the conventional cell measures 2.9486, 2.8628 and 12.2246 Å, with angles of 90.00, 90.00 and 90.00 degrees. The inequivalent atoms are P at (0.0000, 0.0000, 0.0000), Os at (0.5000, 0.0000, 0.3705), Ru at (0.5000, 0.0000, 0.5995) and N at (0.5000, 0.0000, 0.7613).

The value obtained for the raw formation energy is 148 meV/atom. The value obtained for the density of states at the Fermi level is 1.713 states/eV/f.u. As for the total energy: -8.412 eV/atom.



No. 2
VASP calculation (GGA-PBE) on an optimized crystal structure of PaCoSn.

The space group is I4mm (No. 107) and the conventional cell measures 4.3717, 4.3717 and 7.6433 Å, with angles of 90.00, 90.00 and 90.00 degrees. The inequivalent atoms are Pa at (0.0000, 0.0000, 0.0000), Co at (0.0000, 0.0000, 0.7253) and Sn at (0.0000, 0.0000, 0.3910).

The value obtained for the density of states at the Fermi level is 1.780 states/eV/f.u. The formation energy is 262.3 meV/atom. As for the total energy: -6.606 eV/atom.



No. 3
VASP calculation (GGA-PBE) on an optimized crystal structure of Ba2LiCeAu6.

The space group is C2/m (No. 12) and the conventional cell measures 10.4670, 10.4637 and 7.3966 Å, with angles of 90.00, 134.88 and 90.00 degrees. The inequivalent atoms are Ba at (0.0000, 0.2499, 0.0000), Li at (0.0000, 0.0000, 0.5000), Ce at (0.0000, 0.5000, 0.5000), Au at (0.0000, 0.2281, 0.5000), Au at (0.2280, 0.0000, 0.4998) and Au at (0.2282, 0.0000, 0.9562).

The value obtained for the density of states at the Fermi level is 10.944 states/eV/f.u. The formation energy is -446.3 meV/atom. As for the total energy: -3.582 eV/atom.



No. 4
VASP calculation (GGA-PBE) on an optimized crystal structure of SnOsF2.

The space group is R-3m (No. 166, hexagonal axes) and the conventional cell measures 2.9035, 2.9035 and 24.7844 Å, with angles of 90.00, 90.00 and 120.00 degrees. The inequivalent atoms are Sn at (0.0000, 0.0000, 0.0000), Os at (0.0000, 0.0000, 0.5000) and F at (0.0000, 0.0000, 0.4187).

The value obtained for the raw formation energy is -682 meV/atom. The value obtained for the density of states at the Fermi level is 2.187 states/eV/f.u. As for the total energy: -5.426 eV/atom.



No. 5
VASP calculation (GGA-PBE) on an optimized crystal structure of Ce2IrPd.

The space group is R3m (No. 160, hexagonal axes) and the conventional cell measures 4.0627, 4.0627 and 20.6976 Å, with angles of 90.00, 90.00 and 120.00 degrees. The inequivalent atoms are Ce at (0.0000, 0.0000, 0.0000), Ce at (0.0000, 0.0000, 0.1810), Ir at (0.0000, 0.0000, 0.5905) and Pd at (0.0000, 0.0000, 0.7552).

The value obtained for the density of states at the Fermi level is 8.110 states/eV/f.u. The formation energy is -637.9 meV/atom. As for the total energy: -7.118 eV/atom.



No. 6
VASP calculation (GGA-PBE) on an optimized crystal structure of Ac2CdN.

The space group is R3m (No. 160, hexagonal axes) and the conventional cell measures 3.8902, 3.8902 and 25.8720 Å, with angles of 90.00, 90.00 and 120.00 degrees. The inequivalent atoms are Ac at (0.0000, 0.0000, 0.0000), Ac at (0.0000, 0.0000, 0.2165), Cd at (0.0000, 0.0000, 0.7733) and N at (0.0000, 0.0000, 0.6049).

The value obtained for the raw formation energy is -571 meV/atom. The value obtained for the density of states at the Fermi level is 3.808 states/eV/f.u. As for the total energy: -4.936 eV/atom.



No. 7
VASP calculation (GGA-PBE) on an optimized crystal structure of Tb2GaO.

The space group is Amm2 (No. 38) and the conventional cell measures 3.3847, 3.2818 and 14.7952 Å, with angles of 90.00, 90.00 and 90.00 degrees. The inequivalent atoms are Tb at (0.0000, 0.0000, 0.0000), Tb at (0.5000, 0.0000, 0.3075), Ga at (0.5000, 0.0000, 0.6310) and O at (0.0000, 0.0000, 0.8429).

The value obtained for the raw formation energy is -1507 meV/atom. The value obtained for the density of states at the Fermi level is 3.704 states/eV/f.u. As for the total energy: -5.818 eV/atom.



No. 8
VASP calculation (GGA-PBE) on an optimized crystal structure of KSmIrO4.

The space group is Imma (No. 74) and the conventional cell measures 6.6321, 7.3158 and 9.2146 Å, with angles of 90.00, 90.00 and 90.00 degrees. The inequivalent atoms are K at (0.0000, 0.2500, 0.1392), Sm at (0.0000, 0.0000, 0.5000), Ir at (0.2500, 0.2500, 0.7500), O at (0.0000, 0.0797, 0.7514) and O at (0.2159, 0.2500, 0.5273).

The value obtained for the raw formation energy is -1775 meV/atom. The value obtained for the density of states at the Fermi level is 3.320 states/eV/f.u. As for the total energy: -6.705 eV/atom.